No. 1
First-principles (meta-GGA SCAN) data for a crystal of K2CrPRu relaxed with PBEsol, as listed in Alexandria.

The density comes out at 2.6 g/cm3. The formation energy comes out at 844 meV per atom.

Structure (extended XYZ):
```
5
Lattice="6.1439 0.0000 0.0000 0.0000 6.1439 0.0000 0.0000 0.0000 4.4326" Properties=species:S:1:pos:R:3 pbc="T T T"
K 0.0000 3.0720 0.0000
K 3.0720 0.0000 0.0000
Cr 0.0000 0.0000 2.2163
P 0.0000 0.0000 0.0000
Ru 3.0720 3.0720 2.2163
```


No. 2
First-principles (meta-GGA SCAN) data for a crystal of K3Cr2P3S12 relaxed with PBEsol, as listed in Alexandria.

For the formation energy without anion corrections, the calculation gives -926 meV per atom. The density comes out at 2.2 g/cm3.

Structure (extended XYZ):
```
80
Lattice="9.6861 0.0000 0.0000 0.0000 12.1879 0.0000 -7.7399 0.0000 17.5740" Properties=species:S:1:pos:R:3 pbc="T T T"
K 0.9546 0.9834 2.1397
K -2.9153 5.1105 10.9267
K -1.3626 0.7701 7.9857
K -5.2325 5.3238 16.7726
K -3.2470 1.5814 13.9898
K 0.6230 4.5126 5.2028
K 1.3233 7.6753 12.3712
K 5.1932 10.6066 3.5842
K 7.1787 6.8641 0.8013
K 3.3088 11.4178 9.5883
K 4.8616 7.0774 6.6473
K 0.9916 11.2045 15.4343
Cr 0.9416 8.8991 3.6851
Cr -2.9284 9.3828 12.4721
Cr -0.3859 8.7459 6.9721
Cr -4.2558 9.5360 15.7590
Cr 6.2021 2.6520 1.8149
Cr 2.3321 3.4420 10.6019
Cr 4.8746 2.8051 5.1019
Cr 1.0047 3.2888 13.8889
P -1.7842 7.6321 4.4285
P -5.6541 10.6498 13.2154
P -1.7775 9.0077 9.6835
P 2.0925 9.2742 0.8965
P -0.4405 2.1725 11.3579
P 3.4294 3.9214 2.5709
P -1.4832 8.2665 15.0031
P 2.3867 10.0154 6.2161
P -0.1463 2.9137 16.6775
P 3.7237 3.1802 7.8905
P 7.6003 1.5381 4.3585
P 3.7304 4.5559 13.1455
S -4.9344 8.6963 13.5998
S -1.0645 9.5856 4.8128
S -0.3150 6.9330 3.1780
S -4.1850 11.3489 11.9650
S -3.4831 8.2031 10.4847
S 0.3869 10.0788 1.6977
S -1.5797 6.7971 6.2998
S -5.4496 11.4848 15.0868
S -6.1101 8.4094 16.6763
S -2.2402 9.8725 7.8893
S -0.2484 1.4493 5.0969
S -4.1183 4.6447 13.8839
S -2.3133 2.0572 10.7220
S 1.5567 4.0368 1.9351
S -0.3158 7.6777 9.1340
S 3.5541 10.6042 0.3471
S 2.7102 8.0015 2.3667
S -1.1598 10.2804 11.1537
S -1.7733 7.4370 13.1536
S 2.0967 10.8449 4.3666
S 1.6702 8.0518 5.8436
S -2.1997 10.2301 14.6306
S -2.9069 7.6706 16.3481
S 0.9631 10.6113 7.5611
S 0.9832 1.5767 10.0128
S 4.8531 4.5173 1.2259
S 4.1459 1.9578 2.9433
S 0.2760 4.1362 11.7303
S -0.1505 1.3430 13.2074
S 3.7195 4.7510 4.4204
S 3.1060 1.9075 6.4203
S -0.7639 4.1865 15.2073
S -1.6079 1.5838 17.2269
S 2.2620 4.5102 8.4399
S 0.3895 8.1512 15.6389
S 4.2595 10.1307 6.8519
S 6.0645 7.5433 3.6900
S 2.1946 10.7387 12.4770
S 4.1864 2.3155 9.6847
S 8.0563 3.7785 0.8977
S 7.3958 0.7031 2.4872
S 3.5259 5.3908 11.2742
S 1.5593 2.1091 15.8763
S 5.4293 3.9849 7.0893
S 6.1312 0.8391 5.6090
S 2.2613 5.2549 14.3960
S 3.0107 2.6023 12.7612
S 6.8807 3.4916 3.9742
```